Material: TlAs2Br
Method: DFT, PBE-GGA
State: optimized geometry

* volume: 152.9 Å³ per cell
* energy: -13.02 eV for the cell shown
* E_form (uncorrected): 0.079 eV/atom
* crystal system: tetragonal
* space-group type: P4/mmm (123)
* offset from the most stable computed form: 0.347 eV per atom

abc: 4.972 4.972 6.187
angles: 90.00 90.00 90.00
Sites, in units of the cell vectors:
Tl  0.000  0.000  0.000
As  0.500  0.500  0.175
As  0.500  0.500  0.825
Br  0.000  0.000  0.500